(1)
A geometry-optimized Y4AsSe2N structure, computed with PBE-GGA.

Output
Fermi-level density of states in states/eV/f.u.: 3.05

abc: 6.8291 3.9061 6.9830
angles: 90.00 108.80 90.00
Space group P2/m (No. 10)
Inequivalent atoms, fractional coordinates:
Y  0.2152  0.0000  0.2096 [2 per cell]
Y  0.2296  0.5000  0.7820 [2 per cell]
As  0.5000  0.0000  0.0000 [1 per cell]
Se  0.0000  0.0000  0.5000 [1 per cell]
Se  0.5000  0.5000  0.5000 [1 per cell]
N  0.0000  0.5000  0.0000 [1 per cell]

(2)
A geometry-optimized YAsSe2N structure, computed with PBE-GGA.

Output
Energy above the most stable polymorph in this dataset in meV/atom: 560
Fermi-level density of states in states/eV/f.u.: 7.57

abc: 5.5393 5.5393 4.0853
angles: 90.00 90.00 90.00
Space group P4/mmm (No. 123)
Inequivalent atoms, fractional coordinates:
Y  0.0000  0.0000  0.0000 [1 per cell]
As  0.5000  0.5000  0.5000 [1 per cell]
Se  0.0000  0.5000  0.0000 [2 per cell]
N  0.0000  0.0000  0.5000 [1 per cell]

(3)
A geometry-optimized YAsSe2N structure, computed with PBE-GGA.

Output
Energy above the most stable polymorph in this dataset in meV/atom: 0
Fermi-level density of states in states/eV/f.u.: 2.65

abc: 5.1513 5.1513 3.7838
angles: 90.00 90.00 90.00
Space group P4/mmm (No. 123)
Inequivalent atoms, fractional coordinates:
Y  0.0000  0.0000  0.0000 [1 per cell]
As  0.5000  0.5000  0.5000 [1 per cell]
Se  0.0000  0.5000  0.5000 [2 per cell]
N  0.5000  0.5000  0.0000 [1 per cell]

(4)
A geometry-optimized YAs2SeN structure, computed with PBE-GGA.

Output
Energy above the most stable polymorph in this dataset in meV/atom: 1170
Fermi-level density of states in states/eV/f.u.: 4.89

abc: 5.5444 5.5444 5.4333
angles: 90.00 90.00 90.00
Space group P4/mmm (No. 123)
Inequivalent atoms, fractional coordinates:
Y  0.0000  0.0000  0.0000 [1 per cell]
As  0.0000  0.5000  0.0000 [2 per cell]
Se  0.0000  0.0000  0.5000 [1 per cell]
N  0.5000  0.5000  0.5000 [1 per cell]

(5)
A geometry-optimized YAsSe2N structure, computed with PBE-GGA.

Output
Energy above the most stable polymorph in this dataset in meV/atom: 60
Fermi-level density of states in states/eV/f.u.: 3.59

abc: 4.6214 4.6214 4.3012
angles: 90.00 90.00 90.00
Space group P4/mmm (No. 123)
Inequivalent atoms, fractional coordinates:
Y  0.0000  0.0000  0.0000 [1 per cell]
As  0.5000  0.5000  0.0000 [1 per cell]
Se  0.0000  0.5000  0.5000 [2 per cell]
N  0.5000  0.5000  0.5000 [1 per cell]

(6)
A geometry-optimized ZnAsSeN2 structure, computed with PBE-GGA.

Output
Energy above the most stable polymorph in this dataset in meV/atom: 0
Fermi-level density of states in states/eV/f.u.: 2.31

abc: 3.6557 3.6557 6.5880
angles: 90.00 90.00 90.00
Space group P4/mmm (No. 123)
Inequivalent atoms, fractional coordinates:
Zn  0.0000  0.0000  0.0000 [1 per cell]
As  0.5000  0.5000  0.5000 [1 per cell]
Se  0.5000  0.5000  0.0000 [1 per cell]
N  0.0000  0.5000  0.5000 [2 per cell]

| no. | magnetization (μB/cell) | formation energy (no corrections) (eV per atom) | electronic total energy (eV/atom) |
| --- | --- | --- | --- |
| 1 | 0.00 | -1.6366 | -7.3617 |
| 2 | 0.00 | 0.4709 | -4.8107 |
| 3 | 0.00 | -0.0890 | -5.3706 |
| 4 | 1.94 | 1.1889 | -4.3257 |
| 5 | 0.00 | -0.0294 | -5.3110 |
| 6 | 0.69 | 1.0562 | -4.1555 |